Entry 1:
Below is a geometry-optimized NdPuSe structure, with properties calculated at the PBE level.

Unit cell a=17.1761 b=3.7011 c=4.6149 alpha=90.00 beta=90.00 gamma=90.00
Closest atoms and distances in Å follow each position.
Element x y z (fractional)
Nd1 0.1736 0.2500 0.1174  5 Se 2.97-3.04
Nd2 0.3264 0.7500 0.6174  5 Se 2.97-3.04
Nd3 0.6736 0.2500 0.3826  5 Se 2.97-3.04
Nd4 0.8264 0.7500 0.8826  5 Se 2.97-3.04
Pu1 0.0084 0.2500 0.6584  2 Pu 2.38
Pu2 0.4916 0.7500 0.1584  2 Pu 2.38
Pu3 0.5084 0.2500 0.8416  2 Pu 2.38
Pu4 0.9916 0.7500 0.3416  2 Pu 2.38
Se1 0.1496 0.7500 0.6136  5 Nd 2.97-3.04, 3 Pu 2.99-3.06
Se2 0.3504 0.2500 0.1136  5 Nd 2.97-3.04, 3 Pu 2.99-3.06
Se3 0.6496 0.7500 0.8864  5 Nd 2.97-3.04, 3 Pu 2.99-3.06
Se4 0.8504 0.2500 0.3864  5 Nd 2.97-3.04, 3 Pu 2.99-3.06

Summary:
The density of states at the Fermi level comes out at 1.514 states/eV/atom. Its formation energy without anion corrections is -0.84 eV/atom. Its symmetry is Pnma (62).

***

Entry 2:
Below is a geometry-optimized Ba5Pt2Au structure, with properties calculated at the PBE level.

Unit cell a=8.1269 b=8.1269 c=15.6358 alpha=90.00 beta=90.00 gamma=133.62
Closest atoms and distances in Å follow each position.
Element x y z (fractional)
Ba1 0.0505 0.9495 0.6165  2 Pt 3.10-3.12, 1 Au 3.31
Ba2 0.0505 0.9495 0.8835  2 Pt 3.10-3.12, 1 Au 3.31
Ba3 0.2323 0.7677 0.2500  2 Pt 3.25, 2 Au 3.27
Ba4 0.3295 0.6705 0.5575  3 Pt 3.22-3.24, 1 Au 3.41
Ba5 0.3295 0.6705 0.9425  3 Pt 3.22-3.24, 1 Au 3.41
Ba6 0.6705 0.3295 0.0575  3 Pt 3.22-3.24, 1 Au 3.41
Ba7 0.6705 0.3295 0.4425  3 Pt 3.22-3.24, 1 Au 3.41
Ba8 0.7677 0.2323 0.7500  2 Pt 3.25, 2 Au 3.27
Ba9 0.9495 0.0505 0.1165  2 Pt 3.10-3.12, 1 Au 3.31
Ba10 0.9495 0.0505 0.3835  2 Pt 3.10-3.12, 1 Au 3.31
Pt1 0.1490 0.8510 0.0578  6 Ba 3.10-3.25
Pt2 0.1490 0.8510 0.4422  6 Ba 3.10-3.25
Pt3 0.8510 0.1490 0.5578  6 Ba 3.10-3.25
Pt4 0.8510 0.1490 0.9422  6 Ba 3.10-3.25
Au1 0.2227 0.7773 0.7500  6 Ba 3.27-3.41
Au2 0.7773 0.2227 0.2500  6 Ba 3.27-3.41

Summary:
For the formation enthalpy at 0 K, the calculation gives -598 meV/atom. The density of states at the Fermi level comes out at 0.427 states/eV/atom. Its symmetry is Cmcm (63).

***

Entry 3:
Below is a geometry-optimized PrHo3Bi2 structure, with properties calculated at the PBE level.

Unit cell a=9.6725 b=9.6725 c=9.9376 alpha=112.80 beta=112.80 gamma=26.21
Closest atoms and distances in Å follow each position.
Element x y z (fractional)
Pr1 0.1118 0.1118 0.1203  6 Bi 3.33-3.44
Pr2 0.8882 0.8882 0.8797  6 Bi 3.33-3.44
Ho1 0.0578 0.0578 0.6708  3 Bi 3.10-3.42, 3 Ho 3.22-3.36
Ho2 0.3115 0.3115 0.1111  3 Bi 3.17-3.28, 4 Ho 3.31-3.36
Ho3 0.3620 0.3620 0.5227  4 Bi 3.24-3.37, 2 Ho 3.62
Ho4 0.6380 0.6380 0.4773  4 Bi 3.24-3.37, 2 Ho 3.62
Ho5 0.6885 0.6885 0.8889  3 Bi 3.17-3.28, 4 Ho 3.31-3.36
Ho6 0.9422 0.9422 0.3292  3 Bi 3.10-3.42, 3 Ho 3.22-3.36
Bi1 0.2464 0.2464 0.7087  6 Ho 3.24-3.42, 2 Pr 3.35
Bi2 0.4878 0.4878 0.1572  4 Ho 3.10-3.31, 4 Pr 3.33-3.44, 1 Bi 3.33
Bi3 0.5122 0.5122 0.8428  4 Ho 3.10-3.31, 4 Pr 3.33-3.44, 1 Bi 3.33
Bi4 0.7536 0.7536 0.2913  6 Ho 3.24-3.42, 2 Pr 3.35

Summary:
For the formation enthalpy at 0 K, the calculation gives -498 meV/atom. The density of states at the Fermi level comes out at 1.034 states/eV/atom. Its symmetry is C2/m (12).

***

Entry 4:
Below is a geometry-optimized Dy2Tm3In2 structure, with properties calculated at the PBE level.

Unit cell a=11.9047 b=11.9047 c=3.4138 alpha=90.00 beta=90.00 gamma=156.25
Closest atoms and distances in Å follow each position.
Element x y z (fractional)
Dy1 0.2143 0.7857 0.0000  2 Dy 2.96
Dy2 0.7857 0.2143 0.0000  2 Dy 2.96
Tm1 0.3570 0.6430 0.5000  3 Tm 3.33-3.41, 4 Dy 3.42, 4 In 3.42
Tm2 0.5000 0.5000 0.5000  4 Tm 3.33-3.41, 8 In 3.42
Tm3 0.6430 0.3570 0.5000  3 Tm 3.33-3.41, 4 Dy 3.42, 4 In 3.42
In1 0.0712 0.9288 0.0000  3 In 3.32-3.41, 1 Dy 3.33, 8 Tm 3.42
In2 0.9288 0.0712 0.0000  3 In 3.32-3.41, 1 Dy 3.33, 8 Tm 3.42

Summary:
For the formation enthalpy at 0 K, the calculation gives -142 meV/atom. The density of states at the Fermi level comes out at 0.812 states/eV/atom. Its symmetry is Cmmm (65). The energy relative to the lowest polymorph listed for this composition comes out at 129 meV per atom.

***

Entry 5:
Below is a geometry-optimized La4CeSm3S8 structure, with properties calculated at the PBE level.

Unit cell a=8.1777 b=8.1777 c=8.1777 alpha=59.84 beta=59.84 gamma=59.84
Closest atoms and distances in Å follow each position.
Element x y z (fractional)
La1 0.0000 0.0000 0.0000  6 S 2.93
La2 0.0000 0.5000 0.5000  6 S 2.93
La3 0.5000 0.0000 0.5000  6 S 2.93
La4 0.5000 0.5000 0.0000  6 S 2.93
Ce1 0.5000 0.5000 0.5000  6 S 2.85
Sm1 0.0000 0.0000 0.5000  6 S 2.85
Sm2 0.0000 0.5000 0.0000  6 S 2.85
Sm3 0.5000 0.0000 0.0000  6 S 2.85
S1 0.2465 0.2465 0.2465  3 Sm 2.85, 3 La 2.93
S2 0.2461 0.7467 0.7467  2 Sm 2.85, 1 Ce 2.85, 3 La 2.93
S3 0.2533 0.2533 0.7539  2 Sm 2.85, 1 Ce 2.85, 3 La 2.93
S4 0.2533 0.7539 0.2533  2 Sm 2.85, 1 Ce 2.85, 3 La 2.93
S5 0.7467 0.2461 0.7467  2 Sm 2.85, 1 Ce 2.85, 3 La 2.93
S6 0.7467 0.7467 0.2461  2 Sm 2.85, 1 Ce 2.85, 3 La 2.93
S7 0.7539 0.2533 0.2533  2 Sm 2.85, 1 Ce 2.85, 3 La 2.93
S8 0.7535 0.7535 0.7535  3 Sm 2.85, 3 La 2.93

Summary:
The density of states at the Fermi level comes out at 0.731 states/eV/atom. Its formation energy without anion corrections is -2.10 eV/atom. Its symmetry is R-3m (166).

***

Entry 6:
Below is a geometry-optimized La6PtO12 structure, with properties calculated at the PBE level.

Unit cell a=6.8416 b=6.8416 c=6.8416 alpha=98.39 beta=98.39 gamma=98.39
Closest atoms and distances in Å follow each position.
Element x y z (fractional)
La1 0.1068 0.6433 0.8041  6 O 2.34-2.61
La2 0.1959 0.8932 0.3567  6 O 2.34-2.61
La3 0.3567 0.1959 0.8932  6 O 2.34-2.61
La4 0.6433 0.8041 0.1068  6 O 2.34-2.61
La5 0.8041 0.1068 0.6433  6 O 2.34-2.61
La6 0.8932 0.3567 0.1959  6 O 2.34-2.61
Pt1 0.5000 0.5000 0.5000  6 O 2.02
O1 0.0581 0.3227 0.9052  4 La 2.34-2.45
O2 0.0948 0.9419 0.6773  4 La 2.34-2.45
O3 0.2108 0.5336 0.4355  1 Pt 2.02
O4 0.3227 0.9052 0.0581  4 La 2.34-2.45
O5 0.4355 0.2108 0.5336  1 Pt 2.02
O6 0.4664 0.5645 0.7892  1 Pt 2.02
O7 0.5336 0.4355 0.2108  1 Pt 2.02
O8 0.5645 0.7892 0.4664  1 Pt 2.02
O9 0.6773 0.0948 0.9419  4 La 2.34-2.45
O10 0.7892 0.4664 0.5645  1 Pt 2.02
O11 0.9052 0.0581 0.3227  4 La 2.34-2.45
O12 0.9419 0.6773 0.0948  4 La 2.34-2.45

Summary:
The density of states at the Fermi level comes out at 0.376 states/eV/atom. Its formation energy without anion corrections is -2.82 eV/atom. Its symmetry is R-3 (148).

***

Entry 7:
Below is a geometry-optimized MgMn2Cu structure, with properties calculated at the PBE level.

Unit cell a=3.8643 b=3.8671 c=3.8885 alpha=90.00 beta=90.00 gamma=90.00
Closest atoms and distances in Å follow each position.
Element x y z (fractional)
Mg1 0.0000 0.0000 0.0000  8 Mn 2.73-2.74, 4 Cu 2.74
Mn1 0.5000 0.0000 0.5000  4 Cu 2.73, 4 Mg 2.74, 4 Mn 2.74
Mn2 0.5000 0.5000 0.0000  4 Mg 2.73, 4 Cu 2.74, 4 Mn 2.74
Cu1 0.0000 0.5000 0.5000  8 Mn 2.73-2.74, 4 Mg 2.74

Summary:
For the formation enthalpy at 0 K, the calculation gives 245 meV/atom. The density of states at the Fermi level comes out at 0.734 states/eV/atom. Its symmetry is Pmmm (47).

***

Entry 8:
Below is a geometry-optimized SmHoZnCo structure, with properties calculated at the PBE level.

Unit cell a=4.9154 b=4.9154 c=4.9154 alpha=60.00 beta=60.00 gamma=60.00
Closest atoms and distances in Å follow each position.
Element x y z (fractional)
Sm1 0.0000 0.0000 0.0000  4 Co 3.01, 4 Zn 3.01
Ho1 0.5000 0.5000 0.5000  4 Co 3.01, 4 Zn 3.01
Zn1 0.7500 0.7500 0.7500  4 Ho 3.01, 4 Sm 3.01
Co1 0.2500 0.2500 0.2500  4 Ho 3.01, 4 Sm 3.01

Summary:
For the formation enthalpy at 0 K, the calculation gives -194 meV/atom. The density of states at the Fermi level comes out at 0.670 states/eV/atom. Its symmetry is F-43m (216). The energy relative to the lowest polymorph listed for this composition comes out at 13 meV per atom.

***

Entry 9:
Below is a geometry-optimized Cr3TeCl structure, with properties calculated at the PBE level.

Unit cell a=4.2768 b=4.2768 c=4.2768 alpha=90.00 beta=90.00 gamma=90.00
Closest atoms and distances in Å follow each position.
Element x y z (fractional)
Cr1 0.0000 0.0000 0.5000  2 Cl 2.14
Cr2 0.0000 0.5000 0.0000  2 Cl 2.14
Cr3 0.5000 0.0000 0.0000  2 Cl 2.14
Te1 0.5000 0.5000 0.5000  12 Cr 3.02
Cl1 0.0000 0.0000 0.0000  6 Cr 2.14

Summary:
The density of states at the Fermi level comes out at 0.942 states/eV/atom. Its formation energy without anion corrections is 0.87 eV/atom. Its symmetry is Pm-3m (221). The energy relative to the lowest polymorph listed for this composition comes out at 84 meV per atom.

***

Entry 10:
Below is a geometry-optimized ZnCrSn structure, with properties calculated at the PBE level.

Unit cell a=5.1738 b=4.2736 c=5.3388 alpha=90.00 beta=103.17 gamma=90.00
Closest atoms and distances in Å follow each position.
Element x y z (fractional)
Zn1 0.0000 0.0000 0.0000  2 Zn 2.61-2.64, 4 Cr 2.65-2.66
Zn2 0.4830 0.0000 0.9150  2 Zn 2.61-2.64, 2 Sn 2.73-2.76, 4 Cr 2.78-2.79
Cr1 0.2971 0.5000 0.1557  2 Cr 2.50-2.68, 4 Zn 2.65-2.78, 1 Sn 2.71
Cr2 0.7812 0.5000 0.1643  2 Cr 2.50-2.68, 4 Zn 2.66-2.79, 1 Sn 2.76
Sn1 0.1366 0.5000 0.6353  3 Cr 2.71-2.87, 2 Zn 2.96
Sn2 0.6100 0.0000 0.4464  2 Zn 2.73-2.76, 4 Cr 2.87-2.91

Summary:
For the formation enthalpy at 0 K, the calculation gives 231 meV/atom. The density of states at the Fermi level comes out at 0.561 states/eV/atom. Its symmetry is Pm (6).

***

Entry 11:
Below is a geometry-optimized Nd2Al4PbAu3 structure, with properties calculated at the PBE level.

Unit cell a=4.4612 b=4.4612 c=10.8326 alpha=90.00 beta=90.00 gamma=90.00
Closest atoms and distances in Å follow each position.
Element x y z (fractional)
Nd1 0.0000 0.5000 0.2401  8 Al 3.37-3.43, 6 Au 3.41-3.59, 2 Pb 3.59
Nd2 0.5000 0.0000 0.7599  8 Al 3.37-3.43, 6 Au 3.41-3.59, 2 Pb 3.59
Al1 0.0000 0.0000 0.0000  4 Au 2.59
Al2 0.0000 0.5000 0.6516  1 Au 2.45
Al3 0.5000 0.0000 0.3484  1 Au 2.45
Al4 0.5000 0.5000 0.0000  4 Au 2.59
Pb1 0.0000 0.0000 0.5000  4 Al 2.77
Au1 0.0000 0.5000 0.8782  5 Al 2.45-2.59
Au2 0.5000 0.0000 0.1218  5 Al 2.45-2.59
Au3 0.5000 0.5000 0.5000  4 Al 2.77

Summary:
For the formation enthalpy at 0 K, the calculation gives -601 meV/atom. The density of states at the Fermi level comes out at 0.410 states/eV/atom. Its symmetry is P-4m2 (115).

***

Entry 12:
Below is a geometry-optimized Cs2In4Sn5 structure, with properties calculated at the PBE level.

Unit cell a=10.7929 b=9.6781 c=6.9460 alpha=79.10 beta=61.71 gamma=39.20
Closest atoms and distances in Å follow each position.
Element x y z (fractional)
Cs1 0.1317 0.1317 0.8683  6 In 3.94-4.30, 10 Sn 4.07-4.28
Cs2 0.8683 0.8683 0.1317  6 In 3.94-4.30, 10 Sn 4.07-4.28
In1 0.2194 0.4990 0.5010  3 Sn 2.96-3.03
In2 0.4990 0.2194 0.7806  3 Sn 2.96-3.03
In3 0.5010 0.7806 0.2194  3 Sn 2.96-3.03
In4 0.7806 0.5010 0.4990  3 Sn 2.96-3.03
Sn1 0.0000 0.0000 0.5000  4 In 3.36, 4 Sn 3.47-3.57
Sn2 0.2500 0.2500 0.2500  4 In 2.96
Sn3 0.5000 0.5000 0.0000  4 In 3.36, 4 Sn 3.47-3.57
Sn4 0.5000 0.5000 0.5000  4 In 3.03
Sn5 0.7500 0.7500 0.7500  4 In 2.96

Summary:
For the formation enthalpy at 0 K, the calculation gives -65 meV/atom. The density of states at the Fermi level comes out at 0.186 states/eV/atom. Its symmetry is Fmmm (69).

***

It is found that the spin magnetization values, taken in the order of the records, are 0.677, 0.000, 0.000, 0.042, 0.039, 0.112, 1.714, 0.000, 0.800, 0.050, 0.000, 0.000 μB/atom.